Record 1
DFT (SCAN) results for a crystal of Ta2CrB2 relaxed with PBEsol.

Calculated values
* crystal system: tetragonal
* total magnetization: 0.00 μB per formula unit
* energy of formation: -721 meV per atom

```
Ta2CrB2
1.0
-2.198 -1.579 -1.737
4.217 -1.833 -3.670
0.811 -4.786 3.323
Cr B Ta
2 4 4
Direct
0.000 0.000 0.000
0.000 0.500 0.500
0.000 0.388 0.888
0.000 0.888 0.612
0.000 0.612 0.112
0.000 0.112 0.388
0.500 0.181 0.681
0.500 0.681 0.819
0.500 0.819 0.319
0.500 0.319 0.181
```


Record 2
DFT (SCAN) results for a crystal of HgPF2 relaxed with PBEsol.

Calculated values
* crystal system: trigonal
* formation energy without anion corrections: -115 kJ/mol of atoms
* total magnetization: 0.00 μB per formula unit
* distance to the lowest polymorph of the same formula: 0.000 eV per atom

```
HgPF2
1.0
-1.776 2.186 0.101
-1.645 0.376 2.257
4.977 5.653 4.446
P Hg F
1 1 2
Direct
0.000 0.000 0.000
0.500 0.500 0.500
0.934 0.934 0.198
0.066 0.066 0.802
```


Record 3
DFT (SCAN) results for a crystal of Mg2AsPb relaxed with PBEsol.

Calculated values
* crystal system: orthorhombic
* total magnetization: 0.00 μB per formula unit
* distance to the lowest polymorph of the same formula: 0.098 eV per atom
* energy of formation: -239 meV per atom

```
Mg2AsPb
1.0
3.751 0.000 0.000
0.000 4.192 0.000
-1.875 -2.096 5.850
Pb As Mg
1 1 2
Direct
0.544 0.544 0.089
0.269 0.769 0.538
0.944 0.944 0.887
0.743 0.243 0.486
```


Record 4
DFT (SCAN) results for a crystal of TlSnGe3 relaxed with PBEsol.

Calculated values
* crystal system: cubic
* total magnetization: 0.00 μB per formula unit
* energy of formation: 857 meV per atom

```
TlSnGe3
1.0
5.269 0.000 0.000
0.000 5.269 0.000
0.000 0.000 5.269
Tl Ge Sn
1 3 1
Direct
0.500 0.500 0.500
0.000 0.500 0.000
0.000 0.000 0.500
0.500 0.000 0.000
0.000 0.000 0.000
```


Record 5
DFT (SCAN) results for a crystal of MgCrIn2I relaxed with PBEsol.

Calculated values
* crystal system: tetragonal
* formation energy without anion corrections: 44 kJ/mol of atoms
* total magnetization: 5.24 μB per formula unit

```
MgCrIn2I
1.0
5.217 0.000 0.000
0.000 5.508 0.000
0.000 0.000 5.508
I Cr Mg In
1 1 1 2
Direct
0.500 0.500 0.500
0.500 0.000 0.000
0.000 0.000 0.000
0.000 0.000 0.500
0.000 0.500 0.000
```


Record 6
DFT (SCAN) results for a crystal of KCa2Re relaxed with PBEsol.

Calculated values
* crystal system: tetragonal
* total magnetization: 1.71 μB per formula unit
* distance to the lowest polymorph of the same formula: 0.000 eV per atom
* energy of formation: 740 meV per atom

```
KCa2Re
1.0
3.406 0.000 0.000
0.000 3.406 0.000
0.000 0.000 11.031
Ca K Re
2 1 1
Direct
0.000 0.000 0.661
0.000 0.000 0.339
0.500 0.500 0.000
0.500 0.500 0.500
```


Record 7
DFT (SCAN) results for a crystal of CsInCuF6 relaxed with PBEsol.

Calculated values
* crystal system: orthorhombic
* formation energy without anion corrections: -242 kJ/mol of atoms
* total magnetization: 1.00 μB per formula unit

```
CsInCuF6
1.0
7.337 0.000 0.000
3.669 6.604 -0.019
3.669 2.088 6.265
Cs In Cu F
2 2 2 12
Direct
0.412 0.338 0.838
0.588 0.662 0.162
0.000 0.000 0.000
0.000 0.500 0.500
0.500 0.000 0.500
0.000 0.000 0.500
0.918 0.332 0.832
0.300 0.950 0.450
0.907 0.320 0.442
0.331 0.942 0.820
0.331 0.320 0.442
0.907 0.942 0.820
0.082 0.668 0.168
0.700 0.050 0.550
0.093 0.680 0.558
0.669 0.058 0.180
0.669 0.680 0.558
0.093 0.058 0.180
```


Record 8
DFT (SCAN) results for a crystal of SrNiAsPb2 relaxed with PBEsol.

Calculated values
* crystal system: tetragonal
* total magnetization: 1.05 μB per formula unit
* energy of formation: 526 meV per atom

```
SrNiAsPb2
1.0
-1.522 -1.120 5.125
-2.226 -4.695 -1.687
4.931 -2.655 0.884
Pb Sr As Ni
2 1 1 1
Direct
0.000 0.500 0.000
0.500 0.000 0.000
0.000 0.000 0.500
0.000 0.000 0.000
0.500 0.500 0.500
```


Record 9
DFT (SCAN) results for a crystal of KTaAs2 relaxed with PBEsol.

Calculated values
* crystal system: orthorhombic
* total magnetization: 0.00 μB per formula unit
* distance to the lowest polymorph of the same formula: 0.000 eV per atom
* energy of formation: -318 meV per atom

```
KTaAs2
1.0
-1.512 -2.560 1.479
3.025 -1.083 1.218
-1.833 6.308 5.316
As K Ta
2 1 1
Direct
0.919 0.919 0.839
0.728 0.228 0.456
0.554 0.554 0.109
0.298 0.798 0.597
```


Record 10
DFT (SCAN) results for a crystal of Ta2AsBr relaxed with PBEsol.

Calculated values
* crystal system: orthorhombic
* formation energy without anion corrections: 31 kJ/mol of atoms
* total magnetization: 0.00 μB per formula unit
* distance to the lowest polymorph of the same formula: 0.000 eV per atom

```
Ta2AsBr
1.0
-0.237 -0.673 3.064
1.508 -4.197 -0.806
4.033 3.977 -0.429
As Br Ta
1 1 2
Direct
0.518 0.518 0.037
0.735 0.235 0.471
0.016 0.016 0.032
0.230 0.730 0.461
```


Record 11
DFT (SCAN) results for a crystal of Rb2Bi2I relaxed with PBEsol.

Calculated values
* crystal system: tetragonal
* formation energy without anion corrections: -49 kJ/mol of atoms
* total magnetization: 0.00 μB per formula unit
* distance to the lowest polymorph of the same formula: 0.000 eV per atom

```
Rb2Bi2I
1.0
4.926 0.000 0.000
0.000 9.474 0.000
0.000 0.000 9.474
I Bi Rb
2 4 4
Direct
0.000 0.000 0.000
0.000 0.500 0.500
0.000 0.397 0.897
0.000 0.897 0.603
0.000 0.603 0.103
0.000 0.103 0.397
0.500 0.194 0.694
0.500 0.694 0.806
0.500 0.806 0.306
0.500 0.306 0.194
```


Record 12
DFT (SCAN) results for a crystal of GdCl3 relaxed with PBEsol.

Calculated values
* crystal system: hexagonal
* formation energy without anion corrections: -240 kJ/mol of atoms
* total magnetization: 6.99 μB per formula unit

```
GdCl3
1.0
4.042 0.000 0.000
0.000 7.319 0.000
0.000 -3.659 6.338
Gd Cl
2 6
Direct
0.250 0.333 0.667
0.750 0.667 0.333
0.250 0.698 0.610
0.750 0.610 0.912
0.750 0.302 0.390
0.250 0.390 0.088
0.250 0.912 0.302
0.750 0.088 0.698
```